1.
The following is a PBEsol calculation of crystalline Li4Co3Sn2Sb3O16 at its relaxed geometry, from Alexandria.

Cell: 10.6718 6.0745 9.7045 Å, 90.00 90.94 90.00°
Closest atoms and distances in Å follow each position.
Space group Cm (No. 8)
Unique sites:
Li1 0.0000 0.0000 0.0000 (multiplicity 2)  4 O 1.84-2.00
Li2 0.0598 0.0000 0.5363 (multiplicity 2)  3 O 1.78-1.95
Li3 0.1640 0.5000 0.0996 (multiplicity 2)  4 O 1.93-2.12
Li4 0.3296 0.0000 0.6182 (multiplicity 2)  4 O 1.90-2.11
Co1 0.0709 0.2696 0.7923 (multiplicity 4)  6 O 2.03-2.18
Co2 0.1595 0.0000 0.2832 (multiplicity 2)  6 O 2.03-2.10
Sn1 0.1457 0.5000 0.5200 (multiplicity 2)  6 O 2.04-2.22
Sn2 0.3109 0.0000 0.0001 (multiplicity 2)  5 O 1.99-2.18
Sb1 0.3210 0.5000 0.7863 (multiplicity 2)  6 O 1.95-2.08
Sb2 0.4050 0.2483 0.2911 (multiplicity 4)  6 O 2.01-2.08
O1 0.0039 0.5000 0.6588 (multiplicity 2)  1 Li 1.90, 2 Co 2.03, 1 Sn 2.04
O2 0.0688 0.2387 0.4017 (multiplicity 4)  1 Li 1.95, 1 Sb 2.04, 1 Co 2.10, 1 Sn 2.12
O3 0.1466 0.0000 0.9000 (multiplicity 2)  1 Li 1.85, 1 Sn 1.99
O4 0.1693 0.5000 0.9012 (multiplicity 2)  1 Li 1.93, 1 Sb 1.98, 2 Co 2.04
O5 0.2330 0.2763 0.6589 (multiplicity 4)  1 Li 2.01, 1 Sb 2.05, 1 Sn 2.12, 1 Co 2.18
O6 0.2555 0.2255 0.1629 (multiplicity 4)  1 Sb 2.01, 1 Li 2.02, 1 Co 2.08, 1 Sn 2.18
O7 0.3202 0.5000 0.3988 (multiplicity 2)  2 Sb 2.07, 1 Sn 2.22
O8 0.3263 0.0000 0.4012 (multiplicity 2)  2 Sb 2.04, 1 Co 2.10, 1 Li 2.11
O9 0.4054 0.2570 0.9066 (multiplicity 4)  1 Li 2.00, 1 Sn 2.08, 1 Sb 2.08, 1 Co 2.11
O10 0.4757 0.0000 0.1669 (multiplicity 2)  2 Sb 2.08, 1 Li 2.12
O11 0.4839 0.5000 0.6985 (multiplicity 2)  1 Li 1.78, 1 Sb 1.95
O12 0.4880 0.5000 0.1890 (multiplicity 2)  1 Li 1.84, 1 Co 2.03, 2 Sb 2.03

The total magnetization is 8.7 μB/f.u. The calculation puts the formation energy (no corrections) at -1.44 eV/atom. The calculation puts the mass density at 5.6 g cm⁻³.

=====

2.
The following is a PBEsol calculation of crystalline Li4Ti2Co3Sb3O16 at its relaxed geometry, from Alexandria.

Cell: 10.6212 5.9713 9.5074 Å, 90.00 90.65 90.00°
Closest atoms and distances in Å follow each position.
Space group Cm (No. 8)
Unique sites:
Li1 0.0000 0.0000 0.0000 (multiplicity 2)  3 O 1.78-1.96
Li2 0.0113 0.0000 0.5280 (multiplicity 2)  4 O 1.82-2.03
Li3 0.2092 0.5000 0.9094 (multiplicity 2)  4 O 1.91-2.02
Li4 0.3487 0.0000 0.4169 (multiplicity 2)  4 O 1.95-2.04
Ti1 0.2054 0.5000 0.5229 (multiplicity 2)  3 O 1.75-1.95
Ti2 0.3911 0.0000 0.9796 (multiplicity 2)  3 O 1.81-1.99
Co1 0.3506 0.5000 0.2320 (multiplicity 2)  6 O 2.05-2.12
Co2 0.4499 0.2214 0.7380 (multiplicity 4)  5 O 1.98-2.17
Sb1 0.1036 0.2524 0.2327 (multiplicity 4)  6 O 1.98-2.04
Sb2 0.1980 0.0000 0.7315 (multiplicity 2)  6 O 1.97-2.06
O1 0.0203 0.0000 0.3373 (multiplicity 2)  1 Li 1.82, 2 Sb 2.02
O2 0.0292 0.0000 0.8162 (multiplicity 2)  1 Li 1.78, 1 Sb 1.97
O3 0.0324 0.5000 0.3558 (multiplicity 2)  2 Sb 2.04, 1 Li 2.04
O4 0.0318 0.5000 0.8735 (multiplicity 2)  1 Ti 1.81, 1 Li 1.91
O5 0.1181 0.2499 0.6110 (multiplicity 4)  1 Ti 1.95, 1 Li 2.03, 1 Sb 2.06, 1 Co 2.17
O6 0.1726 0.0000 0.1153 (multiplicity 2)  2 Sb 2.02, 1 Li 2.13
O7 0.1836 0.5000 0.1192 (multiplicity 2)  1 Li 2.02, 2 Sb 2.02, 1 Co 2.06
O8 0.2536 0.2761 0.3579 (multiplicity 4)  1 Sb 1.98, 1 Li 2.01, 1 Co 2.08, 1 Ti 2.13
O9 0.2892 0.2153 0.8660 (multiplicity 4)  1 Li 1.95, 1 Ti 1.99, 1 Sb 2.05, 1 Co 2.11
O10 0.3516 0.5000 0.6095 (multiplicity 2)  1 Ti 1.75, 1 Li 1.87
O11 0.3568 0.0000 0.6221 (multiplicity 2)  1 Li 1.95, 2 Co 1.98, 1 Sb 1.99
O12 0.4441 0.2480 0.1152 (multiplicity 4)  1 Li 1.96, 1 Sb 2.02, 1 Ti 2.04, 1 Co 2.12

The total magnetization is 8.0 μB/f.u. The calculation puts the formation energy (no corrections) at -1.75 eV/atom. The calculation puts the mass density at 5.1 g cm⁻³.

=====

3.
The following is a PBEsol calculation of crystalline Li4Ti3Co3Sb2O16 at its relaxed geometry, from Alexandria.

Cell: 9.8741 5.8583 9.7283 Å, 90.00 90.04 90.00°
Closest atoms and distances in Å follow each position.
Space group Cm (No. 8)
Unique sites:
Li1 0.0000 0.0000 0.0000 (multiplicity 2)  4 O 1.85-1.97
Li2 0.0013 0.0000 0.5040 (multiplicity 2)  3 O 1.80-1.89
Li3 0.1558 0.5000 0.9179 (multiplicity 2)  4 O 1.91-1.97
Li4 0.3214 0.0000 0.4053 (multiplicity 2)  4 O 1.92-1.95
Ti1 0.3189 0.5000 0.2259 (multiplicity 2)  6 O 1.92-2.00
Ti2 0.3979 0.2425 0.7261 (multiplicity 4)  6 O 1.94-2.09
Co1 0.0791 0.2539 0.2293 (multiplicity 4)  6 O 1.90-1.94
Co2 0.1802 0.0000 0.7242 (multiplicity 2)  6 O 2.00-2.12
Sb1 0.1479 0.5000 0.4982 (multiplicity 2)  6 O 1.97-2.08
Sb2 0.3249 0.0000 0.0091 (multiplicity 2)  6 O 2.04-2.18
O1 0.0080 0.5000 0.3402 (multiplicity 2)  2 Co 1.93, 1 Li 1.95, 1 Sb 2.07
O2 0.0733 0.2458 0.6068 (multiplicity 4)  1 Li 1.89, 1 Sb 1.97, 1 Ti 2.09
O3 0.1522 0.0000 0.1242 (multiplicity 2)  1 Li 1.93, 2 Co 1.94, 1 Sb 2.04
O4 0.1543 0.5000 0.1208 (multiplicity 2)  1 Ti 1.92, 2 Co 1.94, 1 Li 1.97
O5 0.2317 0.2774 0.3543 (multiplicity 4)  1 Li 1.92, 1 Co 1.94, 1 Ti 2.00, 1 Sb 2.08
O6 0.2517 0.2328 0.8607 (multiplicity 4)  1 Li 1.91, 1 Ti 1.95, 1 Co 2.03, 1 Sb 2.11
O7 0.3225 0.5000 0.6049 (multiplicity 2)  1 Sb 2.01, 1 Li 2.02, 2 Ti 2.05
O8 0.3436 0.0000 0.6026 (multiplicity 2)  1 Li 1.93, 2 Ti 1.94, 1 Co 2.00
O9 0.4171 0.2633 0.1172 (multiplicity 4)  1 Co 1.94, 1 Li 1.97, 1 Ti 2.00, 1 Sb 2.08
O10 0.4755 0.0000 0.8448 (multiplicity 2)  1 Li 1.92, 2 Ti 1.98
O11 0.4888 0.5000 0.8104 (multiplicity 2)  1 Li 1.85, 2 Ti 1.94, 1 Co 2.07
O12 0.4981 0.5000 0.3192 (multiplicity 2)  1 Li 1.80, 2 Co 1.90, 1 Ti 1.99

The total magnetization is 2.8 μB/f.u. The calculation puts the formation energy (no corrections) at -1.98 eV/atom. The calculation puts the mass density at 5.0 g cm⁻³.

=====

4.
The following is a PBEsol calculation of crystalline Li3Co2Si3O10 at its relaxed geometry, from Alexandria.

Cell: 9.1540 5.3908 16.7421 Å, 90.00 97.09 90.00°
Closest atoms and distances in Å follow each position.
Space group Cc (No. 9)
Unique sites:
Li1 0.0000 0.0797 0.0000 (multiplicity 4)  4 O 1.86-2.07
Li2 0.0494 0.3758 0.2296 (multiplicity 4)  3 O 1.96-2.12
Li3 0.4334 0.3661 0.1690 (multiplicity 4)  3 O 1.90-2.07
Co1 0.1444 0.1000 0.3675 (multiplicity 4)  3 O 1.87-1.90
Co2 0.3436 0.0755 0.0255 (multiplicity 4)  5 O 1.89-2.11
Si1 0.1770 0.4187 0.5523 (multiplicity 4)  4 O 1.63-1.67
Si2 0.2408 0.1118 0.7004 (multiplicity 4)  4 O 1.61-1.67
Si3 0.3146 0.3874 0.8535 (multiplicity 4)  4 O 1.61-1.66
O1 0.0292 0.4227 0.0224 (multiplicity 4)  1 Si 1.63
O2 0.1090 0.0274 0.2381 (multiplicity 4)  1 Si 1.61
O3 0.1565 0.3425 0.6468 (multiplicity 4)  2 Si 1.67
O4 0.1760 0.4249 0.3350 (multiplicity 4)  1 Si 1.62
O5 0.1796 0.1557 0.5028 (multiplicity 4)  1 Si 1.64
O6 0.2788 0.1497 0.9094 (multiplicity 4)  1 Si 1.64
O7 0.3334 0.4326 0.0530 (multiplicity 4)  1 Si 1.64
O8 0.3515 0.0429 0.1517 (multiplicity 4)  1 Si 1.61
O9 0.3530 0.2597 0.7686 (multiplicity 4)  2 Si 1.65-1.66
O10 0.4634 0.4717 0.3897 (multiplicity 4)  1 Si 1.61

The total magnetization is 7.0 μB/f.u. The calculation puts the formation energy (no corrections) at -2.08 eV/atom. The calculation puts the mass density at 3.1 g cm⁻³.

=====

5.
The following is a PBEsol calculation of crystalline Li2CoSi3O8 at its relaxed geometry, from Alexandria.

Cell: 6.4287 8.4136 6.5425 Å, 90.00 106.01 90.00°
Closest atoms and distances in Å follow each position.
Space group P2_1 (No. 4)
Unique sites:
Li1 0.0247 0.0000 0.4888 (multiplicity 2)  3 O 1.92-2.07
Li2 0.3573 0.5334 0.2457 (multiplicity 2)  3 O 2.01-2.15
Co1 0.4658 0.7262 0.6042 (multiplicity 2)  4 O 1.92-1.98
Si1 0.0927 0.2475 0.9690 (multiplicity 2)  4 O 1.59-1.66
Si2 0.2509 0.9157 0.8980 (multiplicity 2)  4 O 1.61-1.64
Si3 0.3584 0.3897 0.7204 (multiplicity 2)  4 O 1.61-1.68
O1 0.0817 0.0646 0.8789 (multiplicity 2)  2 Si 1.64
O2 0.1188 0.3631 0.7716 (multiplicity 2)  2 Si 1.66-1.68
O3 0.1527 0.7687 0.0071 (multiplicity 2)  2 Si 1.64
O4 0.2626 0.8797 0.6602 (multiplicity 2)  1 Si 1.61
O5 0.2763 0.2867 0.1824 (multiplicity 2)  1 Si 1.59
O6 0.3015 0.5256 0.5370 (multiplicity 2)  1 Si 1.62
O7 0.4515 0.2242 0.6589 (multiplicity 2)  1 Si 1.61
O8 0.4845 0.9662 0.0574 (multiplicity 2)  2 Si 1.63-1.65

The total magnetization is 3.0 μB/f.u. The calculation puts the formation energy (no corrections) at -2.30 eV/atom. The calculation puts the mass density at 2.8 g cm⁻³.

=====

6.
The following is a PBEsol calculation of crystalline LiCoSiO4 at its relaxed geometry, from Alexandria.

Cell: 13.6883 13.6883 9.1647 Å, 90.00 90.00 120.00°
Closest atoms and distances in Å follow each position.
Space group R3 (No. 146, hexagonal axes)
Unique sites:
Li1 0.0169 0.8090 0.0000 (multiplicity 9)  4 O 1.93-1.95
Li2 0.1426 0.4576 0.1640 (multiplicity 9)  4 O 1.93-1.97
Co1 0.0188 0.8049 0.3318 (multiplicity 9)  4 O 1.84-1.87
Co2 0.1389 0.4569 0.4989 (multiplicity 9)  4 O 1.83-1.85
Si1 0.0127 0.8034 0.6671 (multiplicity 9)  4 O 1.63-1.65
Si2 0.1366 0.4546 0.8341 (multiplicity 9)  4 O 1.64-1.65
O1 0.0007 0.6778 0.6691 (multiplicity 9)  1 Si 1.64
O2 0.0114 0.3403 0.8371 (multiplicity 9)  1 Si 1.64, 1 Co 1.84
O3 0.0742 0.8687 0.5148 (multiplicity 9)  1 Si 1.64
O4 0.0811 0.8753 0.8113 (multiplicity 9)  1 Si 1.63
O5 0.1031 0.8865 0.1736 (multiplicity 9)  1 Si 1.65, 1 Co 1.84
O6 0.2011 0.4612 0.6798 (multiplicity 9)  1 Si 1.65
O7 0.2084 0.0864 0.3088 (multiplicity 9)  1 Si 1.64
O8 0.2146 0.0990 0.6732 (multiplicity 9)  1 Si 1.65, 1 Co 1.83

The total magnetization is 4.0 μB/f.u. The calculation puts the formation energy (no corrections) at -1.91 eV/atom. The calculation puts the mass density at 3.2 g cm⁻³.